Record 1
A plane-wave DFT calculation with PBE was carried out for a relaxed YPbC2 crystal.

Lattice parameters (Å, degrees): 6.1312 6.1312 7.6027 90.00 90.00 90.00
Closest atoms and distances in Å follow each position.
Fractional coordinates of all 16 atoms:
Y (0.0000, 0.0000, 0.0000)  4 C 2.44
Y (0.0000, 0.5000, 0.2500)  4 C 2.44
Y (0.5000, 0.0000, 0.7500)  4 C 2.44
Y (0.5000, 0.5000, 0.5000)  4 C 2.44
Pb (0.0000, 0.0000, 0.5000)  4 C 2.30
Pb (0.0000, 0.5000, 0.7500)  4 C 2.30
Pb (0.5000, 0.0000, 0.2500)  4 C 2.30
Pb (0.5000, 0.5000, 0.0000)  4 C 2.30
C (0.2321, 0.2500, 0.6250)  2 Pb 2.30, 2 Y 2.44
C (0.2500, 0.7321, 0.8750)  2 Pb 2.30, 2 Y 2.44
C (0.2500, 0.7679, 0.3750)  2 Pb 2.30, 2 Y 2.44
C (0.2679, 0.2500, 0.1250)  2 Pb 2.30, 2 Y 2.44
C (0.7321, 0.7500, 0.1250)  2 Pb 2.30, 2 Y 2.44
C (0.7500, 0.2321, 0.3750)  2 Pb 2.30, 2 Y 2.44
C (0.7500, 0.2679, 0.8750)  2 Pb 2.30, 2 Y 2.44
C (0.7679, 0.7500, 0.6250)  2 Pb 2.30, 2 Y 2.44

Fermi-level density of states: 5.17 states/eV/cell
energy of formation from the pure elements: 0.99 eV per atom

Record 2
A plane-wave DFT calculation with PBE was carried out for a relaxed Y7Pb2C2 crystal.

Lattice parameters (Å, degrees): 6.7778 6.7778 6.6456 95.66 95.66 72.38
Closest atoms and distances in Å follow each position.
Fractional coordinates of all 11 atoms:
Y (0.0000, 0.0000, 0.0000)  2 C 2.52
Y (0.0720, 0.4856, 0.7775)  2 C 2.44-2.70
Y (0.4291, 0.4291, 0.2178)  1 C 2.37
Y (0.4856, 0.0720, 0.7775)  2 C 2.44-2.70
Y (0.5144, 0.9280, 0.2225)  2 C 2.44-2.70
Y (0.5709, 0.5709, 0.7822)  1 C 2.37
Y (0.9280, 0.5144, 0.2225)  2 C 2.44-2.70
Pb (0.1872, 0.8128, 0.5000)  1 Pb 3.00, 4 Y 3.17-3.33
Pb (0.8128, 0.1872, 0.5000)  1 Pb 3.00, 4 Y 3.17-3.33
C (0.2321, 0.2321, 0.0258)  4 Y 2.37-2.52
C (0.7679, 0.7679, 0.9742)  4 Y 2.37-2.52

Fermi-level density of states: 9.98 states/eV/cell
energy of formation from the pure elements: -0.20 eV per atom

Record 3
A plane-wave DFT calculation with PBE was carried out for a relaxed Y10Pb4C3 crystal.

Lattice parameters (Å, degrees): 18.1576 18.1576 18.1576 164.49 164.49 22.00
Closest atoms and distances in Å follow each position.
Fractional coordinates of all 17 atoms:
Y (0.0000, 0.5000, 0.5000)  2 C 2.45
Y (0.0692, 0.0692, 0.0000)  2 C 2.47-2.51
Y (0.1382, 0.6382, 0.5000)  2 C 2.45
Y (0.2090, 0.2090, 0.0000)  1 C 2.47
Y (0.3618, 0.8618, 0.5000)  2 C 2.45
Y (0.5000, 0.0000, 0.5000)  2 C 2.45
Y (0.6382, 0.1382, 0.5000)  2 C 2.45
Y (0.7910, 0.7910, 0.0000)  1 C 2.47
Y (0.8618, 0.3618, 0.5000)  2 C 2.45
Y (0.9308, 0.9308, 0.0000)  2 C 2.47-2.51
Pb (0.2991, 0.2991, 0.0000)  9 Y 3.21-3.48
Pb (0.4313, 0.4313, 0.0000)  12 Y 3.46-3.48
Pb (0.5687, 0.5687, 0.0000)  12 Y 3.46-3.48
Pb (0.7009, 0.7009, 0.0000)  9 Y 3.21-3.48
C (0.0000, 0.0000, 0.0000)  6 Y 2.45-2.47
C (0.1396, 0.1396, 0.0000)  6 Y 2.45-2.51
C (0.8604, 0.8604, 0.0000)  6 Y 2.45-2.51

Fermi-level density of states: 6.51 states/eV/cell
energy of formation from the pure elements: -0.58 eV per atom